Here is MgHBr2 after structural relaxation from Alexandria via LeMat-Bulk. Energies are from PBE-GGA.

The total energy comes out at -41.08 eV per cell. As for the density of states at the Fermi level: 0.0 states/eV per cell.

The space group is I-42d (No. 122) and the conventional cell measures 7.128, 7.128 and 10.095 Å, with angles of 90.00, 90.00 and 90.00 degrees. The distinct sites, in fractional coordinates, are Mg at (0.000, 0.000, 0.000), H at (0.000, 0.000, 0.500) and Br at (0.180, 0.250, 0.125).